Below is crystalline CaZnHRh at its relaxed geometry, with properties calculated at the PBE-GGA level.

Unit cell a=4.041 b=4.041 c=8.093 alpha=90.00 beta=90.00 gamma=90.00
Element x y z (fractional)
1 Ca 0.250 0.250 0.187
2 Ca 0.750 0.750 0.813
3 Zn 0.250 0.750 0.500
4 Zn 0.750 0.250 0.500
5 H 0.250 0.250 0.901
6 H 0.750 0.750 0.099
7 Rh 0.250 0.250 0.696
8 Rh 0.750 0.750 0.304

Properties
**Space group**: P4/nmm (129)
**E_tot**: -3.96 eV per atom
**D(E_F)**: 0.335 states/eV/atom
**Calculated density**: 5.26 g/cm³